Compound: VOs2F
Source: the Alexandria database
Functional: PBE+U
Structure: relaxed

Calculated values
distance to the lowest polymorph of the same formula = 0 meV/atom
density of states at the Fermi level = 1.450 states/eV/atom
uncorrected energy = -0.5314 Ry per atom

a = 5.975 Å, b = 5.975 Å, c = 5.975 Å
α = 90.00°, β = 90.00°, γ = 90.00°
Space group Fm-3m (No. 225)
Symmetry-distinct sites (fractional):
V (0.000, 0.000, 0.000) (multiplicity 4)
Os (0.250, 0.250, 0.250) (multiplicity 8)
F (0.000, 0.000, 0.500) (multiplicity 4)